Cs2HoGeSe4 | Alexandria | GGA-PBE | relaxed; raw formation energy = -1.072 eV per atom; uncorrected energy = -4.18 eV/atom; Fermi-level density of states = 10.2 states/eV/cell
1.0
0.0000 7.5469 13.2498
3.3558 0.0000 13.2498
3.3558 7.5469 0.0000
Cs Ho Ge Se
4 2 2 8
direct
0.0553 0.0553 0.6947
0.3053 0.3053 0.9447
0.6947 0.6947 0.0553
0.9447 0.9447 0.3053
0.1250 0.1250 0.1250
0.8750 0.8750 0.8750
0.3750 0.3750 0.3750
0.6250 0.6250 0.6250
0.0095 0.3442 0.4369
0.2907 0.5631 0.6558
0.3442 0.0095 0.7093
0.4369 0.7093 0.0095
0.5631 0.2907 0.9905
0.6558 0.9905 0.2907
0.7093 0.4369 0.3442
0.9905 0.6558 0.5631

Cs2HoGeTe4 | Alexandria | GGA-PBE | relaxed; raw formation energy = -0.825 eV per atom; uncorrected energy = -3.76 eV/atom; Fermi-level density of states = 11.6 states/eV/cell
1.0
0.0000 7.9039 13.9575
3.5103 0.0000 13.9575
3.5103 7.9039 0.0000
Cs Ho Ge Te
4 2 2 8
direct
0.0561 0.0561 0.6939
0.3061 0.3061 0.9439
0.6939 0.6939 0.0561
0.9439 0.9439 0.3061
0.1250 0.1250 0.1250
0.8750 0.8750 0.8750
0.3750 0.3750 0.3750
0.6250 0.6250 0.6250
0.0178 0.3417 0.4395
0.2990 0.5605 0.6583
0.3417 0.0178 0.7010
0.4395 0.7010 0.0178
0.5605 0.2990 0.9822
0.6583 0.9822 0.2990
0.7010 0.4395 0.3417
0.9822 0.6583 0.5605

CsHoGeTe3 | Alexandria | GGA-PBE | relaxed; raw formation energy = -0.960 eV per atom; uncorrected energy = -4.21 eV/atom
1.0
9.8223 0.0000 0.0000
0.0000 4.3258 0.0000
-4.8745 0.0000 11.2801
Cs Ho Ge Te
2 2 2 6
direct
0.2338 0.2500 0.2797
0.7662 0.7500 0.7203
0.3675 0.7500 0.8437
0.6325 0.2500 0.1563
0.1164 0.2500 0.5555
0.8836 0.7500 0.4445
0.1212 0.2500 0.7769
0.3180 0.7500 0.5773
0.3946 0.7500 0.0998
0.6054 0.2500 0.9002
0.6820 0.2500 0.4227
0.8788 0.7500 0.2231

CsGe2I8 | Alexandria | GGA-PBE | relaxed; raw formation energy = -0.442 eV per atom; uncorrected energy = -2.49 eV/atom; Fermi-level density of states = 2.3 states/eV/cell
1.0
8.3271 0.0000 0.0000
-4.1636 7.2115 0.0000
0.0000 0.0000 12.2627
Cs Ge I
1 2 8
direct
0.0000 0.0000 0.0000
0.3333 0.6667 0.3253
0.6667 0.3333 0.6747
0.1578 0.3156 0.2636
0.1578 0.8422 0.2636
0.3156 0.1578 0.7364
0.3333 0.6667 0.5345
0.6667 0.3333 0.4655
0.6844 0.8422 0.2636
0.8422 0.1578 0.7364
0.8422 0.6844 0.7364

CsGeI3 | Alexandria | GGA-PBE | relaxed; raw formation energy = -0.807 eV per atom; uncorrected energy = -2.83 eV/atom
1.0
6.2416 0.0000 0.0000
0.0000 6.0253 0.0000
-2.7788 0.0000 12.6776
Cs Ge I
2 2 6
direct
0.1426 0.2500 0.3222
0.8574 0.7500 0.6778
0.3918 0.2500 0.8607
0.6082 0.7500 0.1393
0.0401 0.7500 0.1300
0.3228 0.2500 0.6332
0.4547 0.7500 0.8787
0.5453 0.2500 0.1213
0.6772 0.7500 0.3668
0.9599 0.2500 0.8700

Cs2Ge2I5 | Alexandria | GGA-PBE | relaxed; raw formation energy = -0.729 eV per atom; uncorrected energy = -2.81 eV/atom; excess energy over the best structure of this formula in the dataset = 0 meV/atom; Fermi-level density of states = 2.9 states/eV/cell
1.0
9.7335 0.0000 0.0000
0.0000 4.4344 4.5531
0.0000 -4.4344 4.5531
Cs Ge I
2 2 5
direct
0.0000 0.0000 0.0000
0.5000 0.0017 0.0017
0.1878 0.5327 0.5327
0.8122 0.5327 0.5327
0.2264 0.4998 0.9670
0.2264 0.9670 0.4998
0.5000 0.4726 0.4726
0.7736 0.4998 0.9670
0.7736 0.9670 0.4998

CsGeI | Alexandria | GGA-PBE | relaxed; raw formation energy = -0.616 eV per atom; uncorrected energy = -2.96 eV/atom; excess energy over the best structure of this formula in the dataset = 5 meV/atom; Fermi-level density of states = 0.3 states/eV/cell
1.0
10.8958 -2.1512 0.0000
10.8958 2.1512 0.0000
-0.2779 0.0000 6.3891
Cs Ge I
2 2 2
direct
0.0000 0.0000 0.0000
0.1799 0.1799 0.5353
0.3766 0.3766 0.5871
0.8315 0.8315 0.6916
0.5032 0.5032 0.4974
0.6465 0.6465 0.0329

CsGeI | Alexandria | GGA-PBE | relaxed; raw formation energy = -0.608 eV per atom; uncorrected energy = -2.95 eV/atom; excess energy over the best structure of this formula in the dataset = 13 meV/atom; Fermi-level density of states = 0.8 states/eV/cell
1.0
4.3851 0.0000 0.0000
0.0003 6.1878 0.0000
0.0141 2.8184 10.3441
Cs Ge I
2 2 2
direct
0.0000 0.0000 0.0000
0.0033 0.6847 0.5918
0.4939 0.3701 0.2262
0.9941 0.3060 0.3386
0.4996 0.5228 0.9532
0.5028 0.1450 0.6770

Cs3GeI8 | Alexandria | GGA-PBE | relaxed; raw formation energy = -0.616 eV per atom; uncorrected energy = -2.25 eV/atom; Fermi-level density of states = 15.8 states/eV/cell
1.0
-4.0972 4.0972 9.4700
4.0972 -4.0972 9.4700
4.0972 4.0972 -9.4700
Cs Ge I
3 1 8
direct
0.0000 0.0000 0.0000
0.2500 0.7500 0.5000
0.7500 0.2500 0.5000
0.5000 0.5000 0.0000
0.1720 0.1720 0.5594
0.1720 0.6126 0.0000
0.3874 0.3874 0.5594
0.3874 0.8280 0.0000
0.6126 0.1720 0.0000
0.6126 0.6126 0.4406
0.8280 0.3874 0.0000
0.8280 0.8280 0.4406

Cs6Ge3I14 | Alexandria | GGA-PBE | relaxed; raw formation energy = -0.928 eV per atom; uncorrected energy = -2.70 eV/atom
1.0
14.3309 0.0000 0.0000
-7.1655 12.4109 0.0000
0.0000 0.0000 7.1835
Cs Ge I
6 3 14
direct
0.0016 0.5706 0.0000
0.0862 0.3256 0.5358
0.2394 0.9138 0.5358
0.4294 0.4310 0.0000
0.5690 0.9984 0.0000
0.6744 0.7606 0.5358
0.0000 0.0000 0.1209
0.3333 0.6667 0.2780
0.6667 0.3333 0.4259
0.0000 0.0000 0.7555
0.1410 0.6130 0.4879
0.1629 0.4286 0.0342
0.1954 0.1274 0.2491
0.2657 0.8371 0.0342
0.3870 0.5280 0.4879
0.4417 0.2490 0.4894
0.4720 0.8590 0.4879
0.5714 0.7343 0.0342
0.6667 0.3333 0.0468
0.7510 0.1927 0.4894
0.8073 0.5583 0.4894
0.8726 0.0681 0.2491
0.9319 0.8046 0.2491

Question: Which of these has the highest uncorrected energy?
Answer: Cs3GeI8

Question: Among the records above, which one has the highest raw formation energy?
Answer: CsGe2I8